1.
Entry from Alexandria via LeMat-Bulk: Sm4SnAsS2 after structural relaxation (PBE).

Cell lengths 7.240, 4.184, 7.296 Å; angles 90.00, 109.53, 90.00 degrees
Atoms (fractional coordinates):
Sm 0.237 0.000 0.238
Sm 0.244 0.500 0.755
Sm 0.756 0.500 0.245
Sm 0.763 0.000 0.762
Sn 0.500 0.500 0.500
As 0.500 0.000 0.000
S 0.000 0.000 0.500
S 0.000 0.500 0.000

ΔE_f (raw) (eV per atom): -1.5467
Space-group type: P2/m, No. 10
Total magnetic moment (μB per formula unit): 0.000
Uncorrected energy (eV/atom): -6.02

***

2.
Entry from Alexandria via LeMat-Bulk: BaLi2Co after structural relaxation (PBE).

Cell lengths 4.527, 4.527, 6.178 Å; angles 111.44, 111.44, 59.94 degrees
Atoms (fractional coordinates):
Ba 0.000 0.000 0.000
Li 0.187 0.187 0.564
Li 0.486 0.486 0.461
Co 0.801 0.801 0.407

Space-group type: Cm, No. 8
Total magnetic moment (μB per formula unit): 0.747
Energy above the most stable polymorph in this dataset (meV/atom): 0
Uncorrected energy (eV/atom): -2.86
Formation energy from the elements (meV per atom): 355

***

3.
Entry from Alexandria via LeMat-Bulk: Na4CdHg8 after structural relaxation (PBE).

Cell lengths 4.669, 4.741, 15.771 Å; angles 90.00, 90.00, 90.00 degrees
Atoms (fractional coordinates):
Na 0.000 0.000 0.000
Na 0.000 0.500 0.160
Na 0.500 0.000 0.439
Na 0.500 0.500 0.668
Cd 0.000 0.000 0.749
Hg 0.000 0.000 0.298
Hg 0.000 0.000 0.571
Hg 0.000 0.500 0.450
Hg 0.000 0.500 0.864
Hg 0.500 0.000 0.149
Hg 0.500 0.000 0.861
Hg 0.500 0.500 0.009
Hg 0.500 0.500 0.300

Space-group type: Pmm2, No. 25
Total magnetic moment (μB per formula unit): 0.000
Uncorrected energy (eV/atom): -0.83
Formation energy from the elements (meV per atom): -167

***

total magnetic moment of number 3 (Na4CdHg8)?
0.000 μB per formula unit

***

What is the formula in the second record?
BaLi2Co

***

Please write out number 2 again, unchanged.
Entry from Alexandria via LeMat-Bulk: BaLi2Co after structural relaxation (PBE).

Cell lengths 4.527, 4.527, 6.178 Å; angles 111.44, 111.44, 59.94 degrees
Atoms (fractional coordinates):
Ba 0.000 0.000 0.000
Li 0.187 0.187 0.564
Li 0.486 0.486 0.461
Co 0.801 0.801 0.407

Space-group type: Cm, No. 8
Total magnetic moment (μB per formula unit): 0.747
Energy above the most stable polymorph in this dataset (meV/atom): 0
Uncorrected energy (eV/atom): -2.86
Formation energy from the elements (meV per atom): 355